A geometry-optimized B3MoOs structure. Source: Alexandria via LeMat-Bulk, functional PBE-GGA.

a = 3.9827 Å, b = 3.9827 Å, c = 3.9827 Å
α = 90.00°, β = 90.00°, γ = 90.00°
Last column: nearest neighbours and their distance in Å.
Fractional positions:
B: 0.0000 0.0000 0.5000  2 Mo 1.99
B: 0.0000 0.5000 0.0000  2 Mo 1.99
B: 0.5000 0.0000 0.0000  2 Mo 1.99
Mo: 0.0000 0.0000 0.0000  6 B 1.99
Os: 0.5000 0.5000 0.5000  12 B 2.82

Values from the calculation:
Calculated total energy: -6.5210 eV/atom
Crystal system: cubic
Energy above the most stable polymorph in this dataset: 662 meV per atom
Total magnetic moment: 0.00 μB/f.u.
ΔH_f (0 K): 1898 meV per atom